(1)
Computed, not measured: a relaxed Y3Tm2Cd2 crystal at the PBE-GGA level of DFT.

Structure (POSCAR):
```
Y3Tm2Cd2
1.0
5.3574 0.0010 -0.0012
-2.6778 4.6348 -0.2976
-0.0023 -2.5744 8.0962
Cd Tm Y
2 2 3
Cartesian
2.6777 0.4476 6.8312
-0.0004 1.6138 0.9662
-0.0015 -1.1725 5.8023
2.6788 3.2339 1.9950
-0.0008 1.8192 4.0780
2.6781 0.2421 3.7194
2.6787 0.0005 -0.0006
```

## Properties
Electronic total energy (eV per formula unit): -31.21
DOS at the Fermi energy (states/eV/cell): 7.94
V (Å³/cell): 197
Energy above the lowest structure with this stoichiometry (meV/atom): 0.0
ΔH_f (0 K) (meV/atom): -149.1
Symmetry: No. 2

(2)
Computed, not measured: a relaxed Cs2LiAuS crystal at the PBE-GGA level of DFT.

Structure (POSCAR):
```
Cs2LiAuS
1.0
6.8362 0.0000 0.0000
0.0000 6.8362 0.0000
0.0000 0.0000 4.5101
S Cs Au Li
1 2 1 1
Cartesian
0.0000 0.0000 0.0000
3.4181 0.0000 0.0000
0.0000 3.4181 0.0000
3.4181 3.4181 2.2551
0.0000 0.0000 2.2551
```

## Properties
Electronic total energy (eV per formula unit): -14.68
E_form (uncorrected) (eV/atom): -0.73
DOS at the Fermi energy (states/eV/cell): 0.00
V (Å³/cell): 211
Energy above the lowest structure with this stoichiometry (meV/atom): 0.0
Symmetry: No. 123

(3)
Computed, not measured: a relaxed Zr2SeCl crystal at the PBE-GGA level of DFT.

Structure (POSCAR):
```
Zr2SeCl
1.0
3.2568 0.0000 0.0000
0.0000 6.1016 0.0000
0.0000 0.0000 4.3140
Zr Se Cl
2 1 1
Cartesian
1.6284 3.0508 0.0000
0.0000 0.0000 0.0000
0.0000 3.0508 2.1570
1.6284 0.0000 2.1570
```

## Properties
Electronic total energy (eV per formula unit): -25.09
E_form (uncorrected) (eV/atom): -0.67
DOS at the Fermi energy (states/eV/cell): 3.14
V (Å³/cell): 86
Energy above the lowest structure with this stoichiometry (meV/atom): 311.6
Symmetry: No. 47

(4)
Computed, not measured: a relaxed BaVCuTc2 crystal at the PBE-GGA level of DFT.

Structure (POSCAR):
```
BaVCuTc2
1.0
4.9612 0.0000 0.0000
0.0000 4.8372 0.0000
0.0000 0.0000 4.9612
Tc V Ba Cu
2 1 1 1
Cartesian
0.0000 0.0000 2.4806
2.4806 0.0000 0.0000
2.4806 2.4186 2.4806
0.0000 0.0000 0.0000
0.0000 2.4186 0.0000
```

## Properties
Electronic total energy (eV per formula unit): -21.17
DOS at the Fermi energy (states/eV/cell): 10.70
V (Å³/cell): 119
ΔH_f (0 K) (meV/atom): 2940.2
Symmetry: No. 123

(5)
Computed, not measured: a relaxed Tl2VTe4 crystal at the PBE-GGA level of DFT.

Structure (POSCAR):
```
Tl2VTe4
1.0
-2.0630 1.7826 4.3183
-4.5361 -1.8935 -1.3854
-1.3165 -7.8549 5.6334
Tl Te V
2 4 1
Cartesian
-2.6423 -2.6403 2.8474
-5.2732 -5.3256 5.7189
-2.2681 -0.9468 -0.6927
-1.9257 -5.4590 4.3533
-5.9899 -2.5069 4.2130
-1.0315 0.8913 2.1592
0.0000 0.0000 0.0000
```

## Properties
Electronic total energy (eV per formula unit): -26.69
E_form (uncorrected) (eV/atom): -0.04
DOS at the Fermi energy (states/eV/cell): 6.99
V (Å³/cell): 236
Symmetry: No. 139

(6)
Computed, not measured: a relaxed ZrBiP2Cl crystal at the PBE-GGA level of DFT.

Structure (POSCAR):
```
ZrBiP2Cl
1.0
5.1589 0.0000 0.0000
0.0000 5.1589 0.0000
0.0000 0.0000 4.8359
Zr P Bi Cl
1 2 1 1
Cartesian
0.0000 0.0000 0.0000
2.5794 0.0000 0.0000
0.0000 2.5794 0.0000
2.5794 2.5794 2.4180
0.0000 0.0000 2.4180
```

## Properties
Electronic total energy (eV per formula unit): -25.78
E_form (uncorrected) (eV/atom): -0.14
DOS at the Fermi energy (states/eV/cell): 2.13
V (Å³/cell): 129
Energy above the lowest structure with this stoichiometry (meV/atom): 0.0
Symmetry: No. 123

(7)
Computed, not measured: a relaxed LiUSb2O8 crystal at the PBE-GGA level of DFT.

Structure (POSCAR):
```
LiUSb2O8
1.0
5.1917 0.0000 0.0000
0.0000 5.1917 0.0000
-2.5958 -2.5958 5.4379
Sb O U Li
2 8 1 1
Cartesian
0.0000 2.5958 2.7190
2.5958 2.5958 0.0000
-1.2306 1.0832 4.3953
-1.3864 -1.4751 3.6697
1.1207 3.9823 1.7682
1.3864 1.4751 3.6697
1.5126 1.3653 1.0426
1.2306 -1.0832 4.3953
3.6790 3.8264 1.0426
4.0710 1.2094 1.7682
2.5958 0.0000 2.7190
0.0000 0.0000 0.0000
```

## Properties
Electronic total energy (eV per formula unit): -83.36
E_form (uncorrected) (eV/atom): -1.85
DOS at the Fermi energy (states/eV/cell): 3.71
V (Å³/cell): 147
Symmetry: No. 82

(8)
Computed, not measured: a relaxed Pm3U2Se8 crystal at the PBE-GGA level of DFT.

Structure (POSCAR):
```
Pm3U2Se8
1.0
7.0537 0.0000 0.1587
0.0000 8.3347 0.0000
-2.6606 -4.1673 6.9389
Se Pm U
8 3 2
Cartesian
5.5944 4.1673 1.6724
5.9131 0.0000 1.8243
-1.2014 0.0000 5.4251
2.2616 6.3825 1.8444
2.1315 2.2151 5.2531
2.1315 -2.2151 5.2531
2.2616 1.9522 1.8444
-1.5201 4.1673 5.2732
0.0000 2.1808 0.0000
0.0000 6.1539 0.0000
3.5268 0.0000 0.0793
3.4039 4.1673 3.4515
0.9892 0.0000 3.6460
```

## Properties
Electronic total energy (eV per formula unit): -83.66
E_form (uncorrected) (eV/atom): -1.46
DOS at the Fermi energy (states/eV/cell): 11.38
V (Å³/cell): 411
Symmetry: No. 12

(9)
Computed, not measured: a relaxed PaAsSe4 crystal at the PBE-GGA level of DFT.

Structure (POSCAR):
```
PaAsSe4
1.0
6.8031 0.0000 -0.4451
0.0000 6.6603 0.0000
-0.5374 0.0000 6.8160
Se As Pa
8 2 2
Cartesian
1.2939 5.1981 4.7695
1.5702 1.8679 1.8240
2.0716 5.2524 1.2772
0.7925 1.9222 5.3162
5.4731 4.7381 1.0547
4.9717 1.4622 1.6014
4.1940 1.4079 5.0937
4.6954 4.7924 4.5470
-0.2687 3.3302 3.4080
3.1328 0.0000 3.1855
0.0000 0.0000 0.0000
3.4015 3.3302 -0.2225
```

## Properties
Electronic total energy (eV per formula unit): -32.12
E_form (uncorrected) (eV/atom): -0.67
V (Å³/cell): 307
Energy above the lowest structure with this stoichiometry (meV/atom): 125.1
Symmetry: No. 14

(10)
Computed, not measured: a relaxed Eu2ErPu crystal at the PBE-GGA level of DFT.

Structure (POSCAR):
```
Eu2ErPu
1.0
3.5801 0.0000 0.0000
1.7901 3.1005 0.0000
1.7901 1.0335 12.1653
Er Eu Pu
1 2 1
Cartesian
3.5801 2.0670 6.0827
1.7901 1.0335 3.0641
5.3702 3.1005 9.1012
0.0000 0.0000 0.0000
```

## Properties
Electronic total energy (eV per formula unit): -38.49
DOS at the Fermi energy (states/eV/cell): 12.60
V (Å³/cell): 135
ΔH_f (0 K) (meV/atom): 237.2
Symmetry: No. 166

(11)
Computed, not measured: a relaxed Tl2NiRh crystal at the PBE-GGA level of DFT.

Structure (POSCAR):
```
Tl2NiRh
1.0
5.5939 0.0232 0.0000
2.8867 4.7916 0.0000
-4.2403 -2.4074 2.7416
Ni Tl Rh
1 2 1
Cartesian
4.2403 2.4074 0.0000
0.0000 0.0000 0.0000
1.4433 2.3958 1.3708
2.7969 0.0116 1.3708
```

## Properties
Electronic total energy (eV per formula unit): -16.68
DOS at the Fermi energy (states/eV/cell): 3.60
V (Å³/cell): 73
Energy above the lowest structure with this stoichiometry (meV/atom): 93.8
ΔH_f (0 K) (meV/atom): 296.6
Symmetry: No. 119

(12)
Computed, not measured: a relaxed NbCu2SnH crystal at the PBE-GGA level of DFT.

Structure (POSCAR):
```
NbCu2SnH
1.0
-3.3461 1.5674 1.6671
1.4338 -0.8656 3.6915
1.7754 3.6206 0.1595
Cu Sn Nb H
2 1 1 1
Cartesian
-1.6730 0.7837 0.8336
0.7169 -0.4328 1.8457
-0.0685 2.1611 2.7590
0.8877 1.8103 0.0797
0.0000 0.0000 0.0000
```

## Properties
Electronic total energy (eV per formula unit): -25.76
DOS at the Fermi energy (states/eV/cell): 1.01
V (Å³/cell): 66
Symmetry: No. 123

(13)
Computed, not measured: a relaxed Tm6Bi2Te3Pb crystal at the PBE-GGA level of DFT.

Structure (POSCAR):
```
Tm6Bi2Te3Pb
1.0
-4.0544 1.3515 -0.9851
-0.0432 -5.2222 -6.9869
-1.5016 -6.2782 7.3301
Tm Bi Te Pb
6 2 3 1
Cartesian
-2.4241 -8.5788 -1.7928
-5.5660 -6.1807 4.6656
-2.3709 -5.9215 1.6338
-3.2284 -4.2274 -2.2756
-0.0333 -3.9682 -5.3074
-3.1751 -1.5701 1.1510
-1.1933 -3.6150 -0.0484
-4.4060 -6.5339 -0.5934
-2.0488 -1.9353 -3.9860
-1.2268 -6.2422 -3.5150
-4.3725 -3.9067 2.8732
-2.0272 0.6758 -0.4925
```

## Properties
Electronic total energy (eV per formula unit): -59.22
E_form (uncorrected) (eV/atom): -0.96
DOS at the Fermi energy (states/eV/cell): 4.01
V (Å³/cell): 355
Symmetry: No. 12

(14)
Computed, not measured: a relaxed BiMo2S crystal at the PBE-GGA level of DFT.

Structure (POSCAR):
```
BiMo2S
1.0
-4.2691 0.9442 -1.3624
-1.6546 -2.6528 3.3464
-3.1377 5.5416 5.9753
S Mo Bi
2 4 2
Cartesian
-2.9619 -0.8543 0.9920
-3.8771 1.0173 5.1568
-7.3621 2.9409 5.8646
-4.7491 3.2358 5.5783
-2.8023 -0.0550 3.2714
-3.2093 1.5444 1.2043
-5.1843 2.8158 2.8024
0.0000 0.0000 0.0000
```

## Properties
Electronic total energy (eV per formula unit): -27.68
E_form (uncorrected) (eV/atom): 0.50
DOS at the Fermi energy (states/eV/cell): 6.44
V (Å³/cell): 170
Energy above the lowest structure with this stoichiometry (meV/atom): 0.0
Symmetry: No. 122

(15)
Computed, not measured: a relaxed TiMoAsSe2 crystal at the PBE-GGA level of DFT.

Structure (POSCAR):
```
TiMoAsSe2
1.0
-3.9758 -2.6705 -0.8753
1.2703 -3.0604 3.5673
-2.5409 2.7212 3.2393
As Mo Se Ti
1 1 2 1
Cartesian
-1.2705 1.3606 1.6196
-2.6232 -1.5048 2.9656
0.6351 -1.5302 1.7836
-1.9879 -1.3352 -0.4376
0.0000 0.0000 0.0000
```

## Properties
Electronic total energy (eV per formula unit): -28.16
E_form (uncorrected) (eV/atom): 0.44
DOS at the Fermi energy (states/eV/cell): 3.72
V (Å³/cell): 117
Energy above the lowest structure with this stoichiometry (meV/atom): 0.0
Symmetry: No. 123

(16)
Computed, not measured: a relaxed GdThInOs crystal at the PBE-GGA level of DFT.

Structure (POSCAR):
```
GdThInOs
1.0
-0.7393 -5.0528 -0.8585
2.0203 -3.4993 3.2386
-3.0993 -2.7305 3.1230
Gd Th Os In
1 1 1 1
Cartesian
-1.3638 -8.4620 4.1273
-0.4546 -2.8207 1.3758
-0.9092 -5.6413 2.7515
0.0000 0.0000 0.0000
```

## Properties
Electronic total energy (eV per formula unit): -35.94
DOS at the Fermi energy (states/eV/cell): 3.18
V (Å³/cell): 98
ΔH_f (0 K) (meV/atom): -118.4
Symmetry: No. 216

(17)
Computed, not measured: a relaxed K4CaRe crystal at the PBE-GGA level of DFT.

Structure (POSCAR):
```
K4CaRe
1.0
0.0000 5.1722 5.1722
5.1722 0.0000 5.1722
5.1722 5.1722 0.0000
K Re Ca
4 1 1
Cartesian
3.8939 6.4506 6.4506
6.4506 3.8939 6.4506
6.4506 6.4506 3.8939
3.8939 3.8939 3.8939
7.7584 7.7584 7.7584
0.0000 0.0000 0.0000
```

## Properties
Electronic total energy (eV per formula unit): -11.36
DOS at the Fermi energy (states/eV/cell): 7.30
V (Å³/cell): 277
ΔH_f (0 K) (meV/atom): 1246.3
Symmetry: No. 216

(18)
Computed, not measured: a relaxed Ce3Os crystal at the PBE-GGA level of DFT.

Structure (POSCAR):
```
Ce3Os
1.0
6.1172 0.0000 0.0000
0.0000 7.0085 0.0000
0.0000 0.0000 9.6383
Ce Os
12 4
Cartesian
0.8347 1.0950 0.5391
2.2883 6.7606 7.2287
3.8289 0.2479 2.4096
3.8933 2.4092 5.3582
5.2825 5.9135 5.3582
5.3469 3.7521 2.4096
2.2239 4.5992 0.5391
2.2239 4.5992 4.2801
5.2825 5.9135 9.0992
0.7703 3.2564 7.2287
3.8933 2.4092 9.0992
0.8347 1.0950 4.2801
5.6232 0.9460 7.2287
3.5527 4.4502 7.2287
0.4940 6.0625 2.4096
2.5646 2.5583 2.4096
```

## Properties
Electronic total energy (eV per formula unit): -29.54
DOS at the Fermi energy (states/eV/cell): 44.05
V (Å³/cell): 413
ΔH_f (0 K) (meV/atom): -126.6
Symmetry: No. 62

(19)
Computed, not measured: a relaxed BeAl2Ru crystal at the PBE-GGA level of DFT.

Structure (POSCAR):
```
BeAl2Ru
1.0
4.5973 0.0075 -0.0080
1.6002 4.3098 0.0080
-3.0936 -2.1660 2.6217
Al Be Ru
2 1 1
Cartesian
3.0991 2.1589 0.0000
6.1972 4.3170 0.0000
2.3012 0.0000 1.3068
0.8027 2.1512 1.3149
```

## Properties
Electronic total energy (eV per formula unit): -21.93
DOS at the Fermi energy (states/eV/cell): 1.58
V (Å³/cell): 52
ΔH_f (0 K) (meV/atom): -360.6
Symmetry: No. 139

(20)
Computed, not measured: a relaxed CdAgPt3 crystal at the PBE-GGA level of DFT.

Structure (POSCAR):
```
CdAgPt3
1.0
-1.9335 0.7450 4.9810
4.3925 -5.2985 2.4975
6.7554 6.3862 1.6672
Cd Ag Pt
4 4 12
Cartesian
8.1475 3.0040 8.1412
3.2656 2.1935 4.2761
5.9489 -0.3609 4.8696
1.0670 -1.1713 1.0044
5.5740 0.5438 2.0823
3.3777 3.1931 0.8336
-0.9667 0.3725 2.4905
1.2295 -2.2768 3.7393
8.9030 0.1054 4.5607
3.1038 -0.3516 3.0584
7.3078 2.0296 3.6537
3.7981 -2.0557 5.0568
6.1107 2.1843 6.0873
5.4164 3.8884 4.0889
0.3115 1.7272 4.5850
7.7058 0.2601 6.9943
1.9067 -0.1970 5.4920
4.9678 -2.2363 2.6163
1.5087 1.5725 2.1514
4.2467 4.0690 6.5293
```

## Properties
Electronic total energy (eV per formula unit): -22.20
DOS at the Fermi energy (states/eV/cell): 10.49
V (Å³/cell): 373
Energy above the lowest structure with this stoichiometry (meV/atom): 0.0
ΔH_f (0 K) (meV/atom): -62.8
Symmetry: No. 62

(21)
Computed, not measured: a relaxed Na3MgPb crystal at the PBE-GGA level of DFT.

Structure (POSCAR):
```
Na3MgPb
1.0
-0.0872 1.8815 5.3920
0.0875 -5.3915 1.8828
5.7102 0.1113 0.0535
Pb Na Mg
1 3 1
Cartesian
2.8552 -1.6993 3.6641
2.8551 0.0557 0.0267
0.0437 -2.6958 0.9414
-0.0436 0.9408 2.6960
0.0000 0.0000 0.0000
```

## Properties
Electronic total energy (eV per formula unit): -7.28
DOS at the Fermi energy (states/eV/cell): 4.12
V (Å³/cell): 186
Energy above the lowest structure with this stoichiometry (meV/atom): 372.2
ΔH_f (0 K) (meV/atom): 396.0
Symmetry: No. 221

(22)
Computed, not measured: a relaxed Dy2AlGa3Cu4 crystal at the PBE-GGA level of DFT.

Structure (POSCAR):
```
Dy2AlGa3Cu4
1.0
4.1099 0.0000 0.0000
0.0000 4.1099 0.0000
0.0000 0.0000 10.1796
Dy Ga Cu Al
2 3 4 1
Cartesian
0.0000 2.0550 7.6936
2.0550 0.0000 2.4860
0.0000 2.0550 1.3355
0.0000 0.0000 5.0898
2.0550 0.0000 8.8442
2.0550 0.0000 6.4670
2.0550 2.0550 0.0000
0.0000 2.0550 3.7126
0.0000 0.0000 0.0000
2.0550 2.0550 5.0898
```

## Properties
Electronic total energy (eV per formula unit): -42.79
DOS at the Fermi energy (states/eV/cell): 4.72
V (Å³/cell): 172
ΔH_f (0 K) (meV/atom): -437.3
Symmetry: No. 115

(23)
Computed, not measured: a relaxed CdInW crystal at the PBE-GGA level of DFT.

Structure (POSCAR):
```
CdInW
1.0
-0.3763 1.4685 2.5243
-3.6584 -3.0655 2.7677
4.5140 -4.5845 4.6017
In Cd W
2 2 2
Cartesian
0.2396 -3.0907 4.9469
-0.1882 0.7343 1.2621
-0.9542 -1.8620 2.5633
1.4335 -4.3194 7.3304
2.7751 -2.8785 3.2690
-2.2958 -3.3030 6.6247
```

## Properties
Electronic total energy (eV per formula unit): -15.14
DOS at the Fermi energy (states/eV/cell): 2.50
V (Å³/cell): 121
Energy above the lowest structure with this stoichiometry (meV/atom): 233.7
ΔH_f (0 K) (meV/atom): 490.2
Symmetry: No. 2

(24)
Computed, not measured: a relaxed HfTaInAs2 crystal at the PBE-GGA level of DFT.

Structure (POSCAR):
```
HfTaInAs2
1.0
4.9701 0.0000 0.0000
0.0000 5.3077 0.0000
0.0000 0.0000 4.9701
As In Ta Hf
2 1 1 1
Cartesian
2.4851 0.0000 0.0000
0.0000 0.0000 2.4851
0.0000 0.0000 0.0000
2.4851 2.6539 2.4851
0.0000 2.6539 0.0000
```

## Properties
Electronic total energy (eV per formula unit): -25.53
DOS at the Fermi energy (states/eV/cell): 6.26
V (Å³/cell): 131
ΔH_f (0 K) (meV/atom): 1663.2
Symmetry: No. 123

(25)
Computed, not measured: a relaxed CsHfAu2 crystal at the PBE-GGA level of DFT.

Structure (POSCAR):
```
CsHfAu2
1.0
0.0000 3.7362 3.7362
3.7362 0.0000 3.7362
3.7362 3.7362 0.0000
Au Cs Hf
2 1 1
Cartesian
5.6044 5.6044 5.6044
1.8681 1.8681 1.8681
0.0000 0.0000 0.0000
3.7362 3.7362 3.7362
```

## Properties
Electronic total energy (eV per formula unit): -15.14
DOS at the Fermi energy (states/eV/cell): 4.48
V (Å³/cell): 104
ΔH_f (0 K) (meV/atom): 555.1
Symmetry: No. 225